(1)
A relaxed YTl2Pd crystal, computed with GGA-PBE.

Cell: 8.193 8.193 6.082 Å, 90.00 90.00 90.00°
Space group I-42d (No. 122)
Symmetry-distinct sites (fractional):
Y 0.000 0.000 0.000 (multiplicity 4)
Tl 0.208 0.750 0.625 (multiplicity 8)
Pd 0.000 0.000 0.500 (multiplicity 4)

Output
The value obtained for the formation energy is -0.94 eV per formula unit.

(2)
A relaxed Y3Tl2Pd2 crystal, computed with GGA-PBE.

Cell: 3.953 23.185 3.756 Å, 90.00 90.00 90.00°
Space group Cmmm (No. 65)
Symmetry-distinct sites (fractional):
Y 0.000 0.000 0.000 (multiplicity 2)
Y 0.000 0.171 0.000 (multiplicity 4)
Tl 0.000 0.417 0.500 (multiplicity 4)
Pd 0.000 0.290 0.500 (multiplicity 4)

Output
The value obtained for the formation energy is -4.46 eV per formula unit.

(3)
A relaxed Y2Tl2Pd crystal, computed with GGA-PBE.

Cell: 7.466 7.466 5.021 Å, 90.00 90.00 90.00°
Space group P4/mbm (No. 127)
Symmetry-distinct sites (fractional):
Y 0.162 0.338 0.000 (multiplicity 4)
Tl 0.153 0.653 0.500 (multiplicity 4)
Pd 0.000 0.000 0.000 (multiplicity 2)

Output
The value obtained for the formation energy is -1.12 eV per formula unit.

no.,volume (Å³/atom)
1,25.5
2,24.6
3,28.0